[1]
Li2ScBr: single point on PBEsol structure, SCAN.

Geometry as POSCAR:
```
Li2ScBr
1.0
1.704 0.984 8.793
-1.704 0.984 8.793
0.000 -1.967 8.793
Li Sc Br
2 1 1
Direct
0.230 0.230 0.230
0.770 0.770 0.770
0.000 0.000 0.000
0.500 0.500 0.500
```

SG: R-3m (166)

=====

[2]
LiScBr: single point on PBEsol structure, SCAN.

Geometry as POSCAR:
```
LiScBr
1.0
3.438 0.000 0.000
-1.719 2.978 0.000
0.000 0.000 6.540
Li Sc Br
1 1 1
Direct
0.000 0.000 0.000
0.667 0.333 0.618
0.333 0.667 0.322
```

SG: P3m1 (156)
Offset from the most stable computed form (meV per atom): 0.0

=====

[3]
LiScBr: single point on PBEsol structure, SCAN.

Geometry as POSCAR:
```
LiScBr
1.0
4.554 0.000 0.000
-2.277 3.944 0.000
0.000 0.000 3.610
Li Sc Br
1 1 1
Direct
0.000 0.000 0.000
0.667 0.333 0.535
0.333 0.667 0.746
```

SG: P3m1 (156)
Offset from the most stable computed form (meV per atom): 422.1

=====

[4]
LiScBr: single point on PBEsol structure, SCAN.

Geometry as POSCAR:
```
LiScBr
1.0
0.000 3.189 3.189
3.189 0.000 3.189
3.189 3.189 0.000
Li Sc Br
1 1 1
Direct
0.000 0.000 0.000
0.500 0.500 0.500
0.250 0.250 0.250
```

SG: F-43m (216)
Offset from the most stable computed form (meV per atom): 531.0

=====

[5]
LiScBr2: single point on PBEsol structure, SCAN.

Geometry as POSCAR:
```
LiScBr2
1.0
3.570 0.000 0.000
0.000 1.835 6.342
0.000 -1.835 6.342
Li Sc Br
1 1 2
Direct
0.000 0.000 0.000
0.500 0.201 0.201
0.000 0.792 0.792
0.500 0.540 0.540
```

SG: Amm2 (38)

=====

[6]
LiScSeBr2: single point on PBEsol structure, SCAN.

Geometry as POSCAR:
```
LiScSeBr2
1.0
5.281 0.000 0.000
0.000 5.281 0.000
0.000 0.000 5.111
Li Sc Se Br
1 1 1 2
Direct
0.000 0.000 0.000
0.500 0.500 0.500
0.500 0.500 0.000
0.000 0.500 0.500
0.500 0.000 0.500
```

SG: P4/mmm (123)
Offset from the most stable computed form (meV per atom): 0.0

=====

[7]
LiScSeBr2: single point on PBEsol structure, SCAN.

Geometry as POSCAR:
```
LiScSeBr2
1.0
4.587 0.000 0.000
0.000 4.587 0.000
0.000 0.000 5.142
Li Sc Se Br
1 1 1 2
Direct
0.000 0.000 0.000
0.500 0.500 0.500
0.000 0.000 0.500
0.000 0.500 0.000
0.500 0.000 0.000
```

SG: P4/mmm (123)
Offset from the most stable computed form (meV per atom): 593.1

=====

[8]
LiSc2TeBr: single point on PBEsol structure, SCAN.

Geometry as POSCAR:
```
LiSc2TeBr
1.0
5.405 0.000 0.000
0.000 5.405 0.000
0.000 0.000 4.865
Li Sc Te Br
1 2 1 1
Direct
0.000 0.000 0.000
0.000 0.500 0.500
0.500 0.000 0.500
0.000 0.000 0.500
0.500 0.500 0.000
```

SG: P4/mmm (123)

=====

The records above give, respectively, formation energy from raw total energies values of -0.548 -0.724 -0.302 -0.193 -1.166 -1.437 -0.844 -0.226 eV per atom.